1.
Ba2MgRu | GGA-PBEsol | optimized geometry

The calculation puts the density of states at the Fermi level at 0.5582 states/eV/atom. The energy above the most stable polymorph in this dataset comes out at 114 meV/atom. As for the uncorrected energy: -3.697 eV per atom. For the formation energy, the calculation gives 0.350 eV/atom.

The space group is Imm2 (No. 44) and the conventional cell measures 3.6456, 5.6409 and 11.8251 Å, with angles of 90.00, 90.00 and 90.00 degrees. The asymmetric unit holds Ba at (0.0000, 0.0000, 0.0000), Ba at (0.0000, 0.5000, 0.1888), Mg at (0.0000, 0.5000, 0.8198) and Ru at (0.0000, 0.0000, 0.4826).



2.
Ba2MgRu | GGA-PBEsol | optimized geometry

The calculation puts the density of states at the Fermi level at 0.2882 states/eV/atom. The energy above the most stable polymorph in this dataset comes out at 0 meV/atom. As for the uncorrected energy: -3.811 eV per atom. For the formation energy, the calculation gives 0.236 eV/atom.

The space group is Cm (No. 8) and the conventional cell measures 7.9248, 4.5886 and 8.4992 Å, with angles of 90.00, 107.93 and 90.00 degrees. The asymmetric unit holds Ba at (0.0000, 0.0000, 0.0000), Ba at (0.1684, 0.0000, 0.5103), Mg at (0.2500, 0.5000, 0.2552) and Ru at (0.4160, 0.0000, 0.2549).